MnFeBO4: relaxed, GGA+U.

Cell and atoms, written as POSCAR:
```
MnFeBO4
1.0
3.191 0.000 0.000
0.000 9.643 -0.105
0.000 -0.005 9.474
Mn Fe B O
4 4 4 16
Cartesian
0.000 8.682 1.588
1.595 5.763 6.358
0.000 3.869 2.963
1.595 0.940 7.830
0.000 8.511 5.236
1.595 5.975 0.451
0.000 3.722 8.868
1.595 1.117 4.148
0.000 7.932 8.126
1.595 6.483 3.352
0.000 3.147 6.002
1.595 1.683 1.259
0.000 9.605 3.552
0.000 9.284 8.197
0.000 7.184 9.325
0.000 7.278 6.889
1.595 7.125 2.113
1.595 7.246 4.544
1.595 5.133 3.454
1.595 4.903 8.361
0.000 4.837 0.964
0.000 4.497 5.897
0.000 2.379 4.824
0.000 2.515 7.250
1.595 2.359 2.491
1.595 2.411 0.062
1.595 0.328 1.220
1.595 0.022 5.834
```

Values from the calculation:
Symmetry: No. 6
Crystal system: monoclinic
Calculated total energy: -7.47 eV per atom